# CoHgAu2

An optimized crystal structure of CoHgAu2 (PBE, Alexandria).

Structure (extended XYZ):
```
4
Lattice="1.471 0.850 9.457 -1.471 0.850 9.457 0.000 -1.699 9.457" Properties=species:S:1:pos:R:3 pbc="T T T"
Co 0.000 0.000 0.000
Hg 0.000 0.000 14.185
Au 0.000 0.000 7.381
Au 0.000 0.000 20.989
```

Calculated values
SG: No. 166
Energy of formation from the pure elements in kJ/mol of formula units: 95
Electronic total energy in eV per atom: -3.24

***

# Co2HgAu

An optimized crystal structure of Co2HgAu (PBE, Alexandria).

Structure (extended XYZ):
```
4
Lattice="4.471 -1.462 0.000 4.471 1.462 0.000 -1.074 0.000 4.866" Properties=species:S:1:pos:R:3 pbc="T T T"
Co 1.998 0.000 0.996
Co 5.871 0.000 3.870
Hg -0.537 0.000 2.433
Au 4.471 0.000 0.000
```

Calculated values
SG: No. 12
Energy of formation from the pure elements in kJ/mol of formula units: 174
Electronic total energy in eV per atom: -4.00

***

# CoHgAu2

An optimized crystal structure of CoHgAu2 (PBE, Alexandria).

Structure (extended XYZ):
```
4
Lattice="-2.081 2.081 3.985 2.081 -2.081 3.985 2.081 2.081 -3.985" Properties=species:S:1:pos:R:3 pbc="T T T"
Co 0.000 0.000 0.000
Hg 2.081 0.000 1.992
Au 0.000 0.000 3.985
Au 0.000 2.081 1.992
```

Calculated values
SG: No. 119
Energy of formation from the pure elements in kJ/mol of formula units: 114
Electronic total energy in eV per atom: -3.20

***

# CoHg2Au2

An optimized crystal structure of CoHg2Au2 (PBE, Alexandria).

Structure (extended XYZ):
```
10
Lattice="6.865 0.000 0.000 0.000 6.865 0.000 0.000 0.000 4.230" Properties=species:S:1:pos:R:3 pbc="T T T"
Co 0.000 0.000 0.000
Co 3.433 3.433 0.000
Hg 1.148 2.284 2.115
Hg 2.284 5.717 2.115
Hg 4.581 1.148 2.115
Hg 5.717 4.581 2.115
Au 0.989 4.421 0.000
Au 2.444 0.989 0.000
Au 4.421 5.877 0.000
Au 5.877 2.444 0.000
```

Calculated values
SG: No. 127
Energy of formation from the pure elements in kJ/mol of formula units: 189
Electronic total energy in eV per atom: -2.46

***

# CoHg2Au

An optimized crystal structure of CoHg2Au (PBE, Alexandria).

Structure (extended XYZ):
```
4
Lattice="6.422 -1.445 0.000 6.422 1.445 0.000 -1.593 0.000 4.250" Properties=species:S:1:pos:R:3 pbc="T T T"
Co 0.000 0.000 0.000
Hg 2.648 0.000 3.425
Hg 5.716 0.000 2.159
Au 8.511 0.000 0.794
```

Calculated values
SG: No. 8
Energy of formation from the pure elements in kJ/mol of formula units: 104
E above lowest polymorph in meV/atom: 0
Electronic total energy in eV per atom: -2.48

***

# CoHg2Au

An optimized crystal structure of CoHg2Au (PBE, Alexandria).

Structure (extended XYZ):
```
4
Lattice="4.293 0.000 0.000 0.000 4.293 0.000 0.000 0.000 3.950" Properties=species:S:1:pos:R:3 pbc="T T T"
Co 0.000 0.000 0.000
Hg 0.000 2.147 1.975
Hg 2.147 0.000 1.975
Au 2.147 2.147 0.000
```

Calculated values
SG: No. 123
Energy of formation from the pure elements in kJ/mol of formula units: 140
E above lowest polymorph in meV/atom: 92
Electronic total energy in eV per atom: -2.39

***

> Which formula does entry 2 have?

Co2HgAu